Material: SrUVO5
Method: DFT, PBE with a Hubbard U
State: optimized geometry

Summary:
- magnetization (Bohr magnetons per cell) = 12.00
- DFT total energy (eV/atom) = -8.47
- D(E_F) (states/eV per cell) = 0.92

a b c (Å): 7.272 9.829 7.991
angles (deg): 90.00 114.51 90.00
Space group C2/c (No. 15)
One atom of each set of equivalent atoms:
Sr (0.000, 0.169, 0.250) (multiplicity 4)
U (0.000, 0.500, 0.000) (multiplicity 4)
V (0.000, 0.183, 0.750) (multiplicity 4)
O (0.000, 0.422, 0.250) (multiplicity 4)
O (0.101, 0.294, 0.608) (multiplicity 8)
O (0.188, 0.052, 0.908) (multiplicity 8)